1.
TaCrHg | PBE | optimized geometry

Cell lengths 3.0089, 3.0089, 6.9647 Å; angles 90.00, 90.00, 120.00 degrees
Last column: nearest neighbours and their distance in Å.
Fractional coordinates of all 3 atoms:
Ta 0.0000 0.0000 0.0000  3 Cr 2.71, 6 Ta 3.01
Cr 0.6667 0.3333 0.2995  3 Ta 2.71, 3 Hg 2.92, 6 Cr 3.01
Hg 0.3333 0.6667 0.6368  3 Cr 2.92, 6 Hg 3.01, 3 Ta 3.07

Results
**Energy of formation from the pure elements**: 486 meV per atom
**Offset from the most stable computed form**: 0.107 eV per atom
**Total magnetic moment**: 2.58 μB per cell
**Space-group type**: P3m1 (156)
**Theoretical density**: 13.183 g cm⁻³

=====

2.
Ta2CrHg | PBE | optimized geometry

Cell lengths 2.8818, 2.8818, 8.9597 Å; angles 90.00, 90.00, 110.47 degrees
Last column: nearest neighbours and their distance in Å.
Fractional coordinates of all 4 atoms:
Ta 0.0000 0.0000 0.2171  2 Cr 2.55
Ta 0.0000 0.0000 0.7829  2 Cr 2.55
Cr 0.5000 0.5000 0.0000  4 Ta 2.55
Hg 0.5000 0.5000 0.5000  4 Hg 2.88, 4 Ta 3.02

Results
**Energy of formation from the pure elements**: 264 meV per atom
**Total magnetic moment**: 0.00 μB per cell
**Space-group type**: Cmmm (65)
**Theoretical density**: 14.637 g cm⁻³

=====

3.
TaCrHg2 | PBE | optimized geometry

Cell lengths 4.1563, 4.1563, 4.2853 Å; angles 90.00, 90.00, 90.00 degrees
Last column: nearest neighbours and their distance in Å.
Fractional coordinates of all 4 atoms:
Ta 0.0000 0.0000 0.0000  4 Cr 2.94, 8 Hg 2.98
Cr 0.5000 0.5000 0.0000  4 Ta 2.94, 8 Hg 2.98
Hg 0.0000 0.5000 0.5000  4 Hg 2.94, 4 Cr 2.98, 4 Ta 2.98
Hg 0.5000 0.0000 0.5000  4 Hg 2.94, 4 Cr 2.98, 4 Ta 2.98

Results
**Energy of formation from the pure elements**: 563 meV per atom
**Offset from the most stable computed form**: 0.168 eV per atom
**Total magnetic moment**: 2.21 μB per cell
**Space-group type**: P4/mmm (123)
**Theoretical density**: 14.224 g cm⁻³

=====

4.
Ta2CrHg | PBE | optimized geometry

Cell lengths 5.0690, 5.0690, 2.9381 Å; angles 90.00, 90.00, 112.03 degrees
Last column: nearest neighbours and their distance in Å.
Fractional coordinates of all 4 atoms:
Ta 0.0000 0.5000 0.0000  4 Ta 2.83-2.94, 4 Hg 2.93, 4 Cr 2.93
Ta 0.5000 0.0000 0.0000  4 Ta 2.83-2.94, 4 Cr 2.93, 4 Hg 2.93
Cr 0.0000 0.0000 0.5000  2 Hg 2.83, 8 Ta 2.93, 2 Cr 2.94
Hg 0.5000 0.5000 0.5000  2 Cr 2.83, 8 Ta 2.93, 2 Hg 2.94

Results
**Energy of formation from the pure elements**: 411 meV per atom
**Total magnetic moment**: 2.03 μB per cell
**Space-group type**: Cmmm (65)
**Theoretical density**: 14.581 g cm⁻³

=====

5.
TaCrHg2 | PBE | optimized geometry

Cell lengths 5.1320, 5.1320, 5.1892 Å; angles 100.07, 100.07, 34.23 degrees
Last column: nearest neighbours and their distance in Å.
Fractional coordinates of all 4 atoms:
Ta 0.0000 0.0000 0.0000  6 Hg 2.95-3.01, 4 Cr 3.00, 2 Ta 3.02
Cr 0.5000 0.5000 0.5000  6 Hg 2.93-3.01, 4 Ta 3.00, 2 Cr 3.02
Hg 0.2453 0.2453 0.7460  3 Cr 2.93-3.01, 3 Ta 2.95-3.01, 6 Hg 2.98-3.03
Hg 0.7547 0.7547 0.2540  3 Cr 2.93-3.01, 3 Ta 2.95-3.01, 6 Hg 2.98-3.03

Results
**Energy of formation from the pure elements**: 554 meV per atom
**Offset from the most stable computed form**: 0.160 eV per atom
**Total magnetic moment**: 2.40 μB per cell
**Space-group type**: C2/m (12)
**Theoretical density**: 13.932 g cm⁻³

=====

6.
Ta2CrHg | PBE | optimized geometry

Cell lengths 3.1309, 3.1309, 7.0469 Å; angles 90.00, 90.00, 90.00 degrees
Last column: nearest neighbours and their distance in Å.
Fractional coordinates of all 4 atoms:
Ta 0.0000 0.0000 0.2079  4 Cr 2.65, 1 Ta 2.93
Ta 0.0000 0.0000 0.7921  4 Cr 2.65, 1 Ta 2.93
Cr 0.5000 0.5000 0.0000  8 Ta 2.65
Hg 0.5000 0.5000 0.5000  8 Ta 3.02, 4 Hg 3.13

Results
**Energy of formation from the pure elements**: 194 meV per atom
**Total magnetic moment**: 0.00 μB per cell
**Space-group type**: P4/mmm (123)
**Theoretical density**: 14.771 g cm⁻³

=====

7.
TaCrHg2 | PBE | optimized geometry

Cell lengths 3.0443, 4.1447, 5.9162 Å; angles 90.00, 90.11, 90.00 degrees
Last column: nearest neighbours and their distance in Å.
Fractional coordinates of all 4 atoms:
Ta 0.0000 0.0000 0.0000  2 Cr 2.96, 8 Hg 2.98, 2 Ta 3.04
Cr 0.0000 0.0000 0.5000  8 Hg 2.95, 2 Ta 2.96, 2 Cr 3.04
Hg 0.4998 0.5000 0.2554  4 Hg 2.89-3.04, 4 Cr 2.95, 4 Ta 2.98
Hg 0.5002 0.5000 0.7446  4 Hg 2.89-3.04, 4 Cr 2.95, 4 Ta 2.98

Results
**Energy of formation from the pure elements**: 531 meV per atom
**Offset from the most stable computed form**: 0.136 eV per atom
**Total magnetic moment**: 2.80 μB per cell
**Space-group type**: P2/m (10)
**Theoretical density**: 14.106 g cm⁻³

=====

8.
TaCrHg2 | PBE | optimized geometry

Cell lengths 5.9727, 5.9727, 5.9727 Å; angles 102.50, 102.50, 124.54 degrees
Last column: nearest neighbours and their distance in Å.
Fractional coordinates of all 8 atoms:
Ta 0.0000 0.0000 0.0000  2 Cr 2.78, 4 Hg 2.83
Ta 0.7500 0.2500 0.5000  2 Cr 2.78, 4 Hg 2.83
Cr 0.2500 0.7500 0.5000  4 Hg 2.64, 2 Ta 2.78
Cr 0.5000 0.5000 0.0000  4 Hg 2.64, 2 Ta 2.78
Hg 0.1439 0.6250 0.0189  2 Cr 2.64, 2 Hg 2.79, 2 Ta 2.83
Hg 0.3750 0.3939 0.5189  2 Cr 2.64, 2 Hg 2.79, 2 Ta 2.83
Hg 0.6061 0.1250 0.9811  2 Cr 2.64, 2 Hg 2.79, 2 Ta 2.83
Hg 0.8750 0.8561 0.4811  2 Cr 2.64, 2 Hg 2.79, 2 Ta 2.83

Results
**Energy of formation from the pure elements**: 1053 meV per atom
**Offset from the most stable computed form**: 0.659 eV per atom
**Total magnetic moment**: 0.14 μB per cell
**Space-group type**: I-42d (122)
**Theoretical density**: 13.556 g cm⁻³

=====

9.
TaCrHg2 | PBE | optimized geometry

Cell lengths 5.2428, 5.2428, 2.8476 Å; angles 90.00, 90.00, 114.34 degrees
Last column: nearest neighbours and their distance in Å.
Fractional coordinates of all 4 atoms:
Ta 0.0000 0.0000 0.0000  2 Cr 2.84, 2 Ta 2.85, 8 Hg 2.98
Cr 0.5000 0.5000 0.0000  2 Ta 2.84, 2 Cr 2.85, 8 Hg 2.98
Hg 0.0000 0.5000 0.5000  4 Hg 2.84-2.85, 4 Cr 2.98, 4 Ta 2.98
Hg 0.5000 0.0000 0.5000  4 Hg 2.84-2.85, 4 Cr 2.98, 4 Ta 2.98

Results
**Energy of formation from the pure elements**: 636 meV per atom
**Offset from the most stable computed form**: 0.242 eV per atom
**Total magnetic moment**: 0.00 μB per cell
**Space-group type**: Cmmm (65)
**Theoretical density**: 14.765 g cm⁻³

=====

10.
TaCrHg | PBE | optimized geometry

Cell lengths 7.1065, 6.9153, 2.8655 Å; angles 81.98, 74.49, 23.53 degrees
Last column: nearest neighbours and their distance in Å.
Fractional coordinates of all 3 atoms:
Ta 0.0000 0.0000 0.0000  2 Cr 2.51
Cr 0.3603 0.3603 0.6397  2 Ta 2.51
Hg 0.6890 0.6890 0.3110  2 Cr 2.84, 4 Hg 2.87, 2 Ta 3.03

Results
**Energy of formation from the pure elements**: 457 meV per atom
**Offset from the most stable computed form**: 0.077 eV per atom
**Total magnetic moment**: 0.00 μB per cell
**Space-group type**: Fmm2 (42)
**Theoretical density**: 13.819 g cm⁻³

=====

11.
Ta4CrHg | PBE | optimized geometry

Cell lengths 5.4672, 5.4672, 5.4672 Å; angles 60.00, 60.00, 60.00 degrees
Last column: nearest neighbours and their distance in Å.
Fractional coordinates of all 6 atoms:
Ta 0.1240 0.1240 0.1240  6 Ta 2.71-2.75
Ta 0.1240 0.1240 0.6279  6 Ta 2.71-2.75
Ta 0.1240 0.6279 0.1240  6 Ta 2.71-2.75
Ta 0.6279 0.1240 0.1240  6 Ta 2.71-2.75
Cr 0.7500 0.7500 0.7500  12 Ta 3.20, 4 Hg 3.35
Hg 0.5000 0.5000 0.5000  12 Ta 3.21, 4 Cr 3.35

Results
**Energy of formation from the pure elements**: 612 meV per atom
**Total magnetic moment**: 2.86 μB per cell
**Space-group type**: F-43m (216)
**Theoretical density**: 14.031 g cm⁻³

=====

12.
TaCrHg2 | PBE | optimized geometry

Cell lengths 9.6080, 9.6080, 9.6080 Å; angles 18.38, 18.38, 18.38 degrees
Last column: nearest neighbours and their distance in Å.
Fractional coordinates of all 4 atoms:
Ta 0.0000 0.0000 0.0000  6 Hg 3.04, 6 Ta 3.07
Cr 0.5000 0.5000 0.5000  6 Hg 2.86, 6 Cr 3.07
Hg 0.2460 0.2460 0.2460  3 Cr 2.86, 3 Ta 3.04, 6 Hg 3.07
Hg 0.7540 0.7540 0.7540  3 Cr 2.86, 3 Ta 3.04, 6 Hg 3.07

Results
**Energy of formation from the pure elements**: 536 meV per atom
**Offset from the most stable computed form**: 0.142 eV per atom
**Total magnetic moment**: 3.18 μB per cell
**Space-group type**: R-3m (166)
**Theoretical density**: 13.678 g cm⁻³

=====

13.
Ta2CrHg | PBE | optimized geometry

Cell lengths 3.2677, 3.2677, 6.5516 Å; angles 90.00, 90.00, 90.00 degrees
Last column: nearest neighbours and their distance in Å.
Fractional coordinates of all 4 atoms:
Ta 0.0000 0.0000 0.0000  4 Ta 2.83, 1 Cr 2.95, 4 Hg 2.99
Ta 0.5000 0.5000 0.2483  4 Cr 2.66, 4 Ta 2.83
Cr 0.0000 0.0000 0.4507  5 Ta 2.66-2.95, 4 Hg 2.87
Hg 0.5000 0.5000 0.7115  4 Cr 2.87, 5 Ta 2.99-3.03

Results
**Energy of formation from the pure elements**: 273 meV per atom
**Total magnetic moment**: 0.92 μB per cell
**Space-group type**: P4mm (99)
**Theoretical density**: 14.585 g cm⁻³

=====

14.
TaCrHg2 | PBE | optimized geometry

Cell lengths 3.2473, 3.2473, 7.1247 Å; angles 90.00, 90.00, 90.00 degrees
Last column: nearest neighbours and their distance in Å.
Fractional coordinates of all 4 atoms:
Ta 0.0000 0.0000 0.0000  4 Cr 2.57
Cr 0.5000 0.5000 0.1626  4 Ta 2.57
Hg 0.0000 0.0000 0.4216  4 Cr 2.95, 1 Ta 3.00, 8 Hg 3.12-3.25
Hg 0.5000 0.5000 0.7177  4 Ta 3.05, 8 Hg 3.12-3.25, 1 Cr 3.17

Results
**Energy of formation from the pure elements**: 394 meV per atom
**Offset from the most stable computed form**: 0.000 eV per atom
**Total magnetic moment**: 0.88 μB per cell
**Space-group type**: P4mm (99)
**Theoretical density**: 14.016 g cm⁻³

=====

15.
Ta2CrHg | PBE | optimized geometry

Cell lengths 10.4018, 10.4018, 10.4018 Å; angles 158.28, 158.28, 30.91 degrees
Last column: nearest neighbours and their distance in Å.
Fractional coordinates of all 8 atoms:
Ta 0.1167 0.6250 0.9917  4 Ta 2.73-2.82, 2 Cr 2.85, 2 Hg 2.88
Ta 0.3750 0.3667 0.4917  4 Ta 2.73-2.82, 2 Cr 2.85, 2 Hg 2.88
Ta 0.6333 0.1250 0.0083  4 Ta 2.73-2.82, 2 Cr 2.85, 2 Hg 2.88
Ta 0.8750 0.8833 0.5083  4 Ta 2.73-2.82, 2 Cr 2.85, 2 Hg 2.88
Cr 0.0000 0.0000 0.0000  4 Hg 2.77, 4 Ta 2.85
Cr 0.7500 0.2500 0.5000  4 Hg 2.77, 4 Ta 2.85
Hg 0.2500 0.7500 0.5000  4 Cr 2.77, 4 Ta 2.88
Hg 0.5000 0.5000 0.0000  4 Cr 2.77, 4 Ta 2.88

Results
**Energy of formation from the pure elements**: 854 meV per atom
**Total magnetic moment**: 4.81 μB per cell
**Space-group type**: I-42d (122)
**Theoretical density**: 13.246 g cm⁻³

=====

16.
TaCrHg | PBE | optimized geometry

Cell lengths 4.3651, 4.3651, 4.3651 Å; angles 60.00, 60.00, 60.00 degrees
Last column: nearest neighbours and their distance in Å.
Fractional coordinates of all 3 atoms:
Ta 0.0000 0.0000 0.0000  4 Cr 2.67
Cr 0.2500 0.2500 0.2500  4 Hg 2.67, 4 Ta 2.67
Hg 0.5000 0.5000 0.5000  4 Cr 2.67

Results
**Energy of formation from the pure elements**: 1007 meV per atom
**Offset from the most stable computed form**: 0.627 eV per atom
**Total magnetic moment**: 1.15 μB per cell
**Space-group type**: F-43m (216)
**Theoretical density**: 12.240 g cm⁻³

=====

17.
TaCrHg2 | PBE | optimized geometry

Cell lengths 5.2392, 5.2392, 5.2392 Å; angles 133.73, 133.73, 67.50 degrees
Last column: nearest neighbours and their distance in Å.
Fractional coordinates of all 4 atoms:
Ta 0.0000 0.0000 0.0000  8 Hg 2.91-3.00, 4 Cr 3.00
Cr 0.2500 0.7500 0.5000  8 Hg 2.91-3.00, 4 Ta 3.00
Hg 0.5000 0.5000 0.0000  4 Ta 2.91, 4 Cr 3.00, 4 Hg 3.00
Hg 0.7500 0.2500 0.5000  4 Cr 2.91, 4 Ta 3.00, 4 Hg 3.00

Results
**Energy of formation from the pure elements**: 612 meV per atom
**Offset from the most stable computed form**: 0.217 eV per atom
**Total magnetic moment**: 1.59 μB per cell
**Space-group type**: I-4m2 (119)
**Theoretical density**: 14.264 g cm⁻³

=====

18.
Ta2CrHg | PBE | optimized geometry

Cell lengths 4.6266, 4.6266, 4.6266 Å; angles 60.00, 60.00, 60.00 degrees
Last column: nearest neighbours and their distance in Å.
Fractional coordinates of all 4 atoms:
Ta 0.0000 0.0000 0.0000  4 Cr 2.83, 4 Ta 2.83
Ta 0.2500 0.2500 0.2500  4 Hg 2.83, 4 Ta 2.83
Cr 0.7500 0.7500 0.7500  4 Hg 2.83, 4 Ta 2.83
Hg 0.5000 0.5000 0.5000  4 Ta 2.83, 4 Cr 2.83

Results
**Energy of formation from the pure elements**: 485 meV per atom
**Total magnetic moment**: 0.73 μB per cell
**Space-group type**: F-43m (216)
**Theoretical density**: 14.571 g cm⁻³

=====

19.
Ta2CrHg | PBE | optimized geometry

Cell lengths 3.9918, 3.9918, 4.3490 Å; angles 90.00, 90.00, 90.00 degrees
Last column: nearest neighbours and their distance in Å.
Fractional coordinates of all 4 atoms:
Ta 0.0000 0.5000 0.0000  4 Ta 2.82, 4 Hg 2.95, 4 Cr 2.95
Ta 0.5000 0.0000 0.0000  4 Ta 2.82, 4 Hg 2.95, 4 Cr 2.95
Cr 0.0000 0.0000 0.5000  4 Hg 2.82, 8 Ta 2.95
Hg 0.5000 0.5000 0.5000  4 Cr 2.82, 8 Ta 2.95

Results
**Energy of formation from the pure elements**: 361 meV per atom
**Total magnetic moment**: 1.89 μB per cell
**Space-group type**: P4/mmm (123)
**Theoretical density**: 14.724 g cm⁻³

=====

20.
Ta2CrHg | PBE | optimized geometry

Cell lengths 5.1783, 5.1783, 5.1783 Å; angles 140.84, 127.85, 67.11 degrees
Last column: nearest neighbours and their distance in Å.
Fractional coordinates of all 4 atoms:
Ta 0.2291 0.2291 0.0000  2 Cr 2.63, 4 Ta 2.88, 2 Hg 2.91
Ta 0.7709 0.7709 0.0000  2 Cr 2.63, 4 Ta 2.88, 2 Hg 2.91
Cr 0.0000 0.5000 0.5000  4 Ta 2.63, 4 Hg 2.86
Hg 0.5000 0.0000 0.5000  4 Cr 2.86, 8 Ta 2.91-3.01

Results
**Energy of formation from the pure elements**: 330 meV per atom
**Total magnetic moment**: 0.00 μB per cell
**Space-group type**: Immm (71)
**Theoretical density**: 14.965 g cm⁻³